1.
Below is a geometry-optimized LiCr2OsW structure, with properties calculated at the PBE-GGA level.

Results
**Spin magnetization**: 5.0 Bohr magnetons per cell
**Symmetry**: P4/mmm (123)
**E**: -7.704 eV/atom

a b c (Å): 4.789 4.772 4.789
angles (deg): 90.00 90.00 90.00
Site moments in Bohr magnetons follow the coordinates.
Fractional coordinates of all 5 atoms:
Cr  0.000  0.000  0.500  2.97
Cr  0.500  0.000  0.000  3.37
Os  0.000  0.000  0.000  -0.32
Li  0.500  0.500  0.500  -0.01
W  0.000  0.500  0.000  -1.28

***

2.
Below is a geometry-optimized LiCrP2 structure, with properties calculated at the PBE-GGA level.

Results
**Spin magnetization**: 0.0 Bohr magnetons per cell
**Symmetry**: Cmm2 (35)
**E**: -5.423 eV/atom

a b c (Å): 2.465 2.465 9.823
angles (deg): 90.00 90.00 98.59
Fractional coordinates of all 4 atoms:
Li  0.500  0.500  0.737
P  0.500  0.500  0.320
P  0.000  0.000  0.941
Cr  0.000  0.000  0.502

***

3.
Below is a geometry-optimized LiCrP2 structure, with properties calculated at the PBE-GGA level.

Results
**Spin magnetization**: 0.0 Bohr magnetons per cell
**Symmetry**: P4mm (99)
**E**: -5.731 eV/atom

a b c (Å): 3.231 3.231 4.641
angles (deg): 90.00 90.00 90.00
Fractional coordinates of all 4 atoms:
Cr  0.000  0.000  0.475
P  0.500  0.500  0.281
P  0.000  0.000  0.967
Li  0.500  0.500  0.777